18
Lattice="-1.722 -5.732 0.693 8.126 -7.392 2.678 0.210 -4.063 10.549" Properties=species:S:1:pos:R:3 comment="Tb3Nd2Dy4 | the Alexandria database | GGA-PBE | optimized geometry" crystal_system=monoclinic pbc="T T T"
Nd 1.643 -6.609 6.420
Nd 4.021 -6.950 8.954
Nd 4.970 -10.578 7.500
Nd 2.593 -10.237 4.966
Tb 4.928 -7.661 5.602
Tb 1.685 -9.526 8.317
Tb 7.748 -11.465 10.024
Tb -1.135 -5.722 3.896
Tb 2.129 -3.867 1.160
Tb 4.484 -13.320 12.760
Dy -0.011 -10.406 11.163
Dy 5.401 -13.960 9.459
Dy -0.456 -7.031 9.288
Dy 4.539 -10.369 10.827
Dy 2.074 -6.818 3.093
Dy 6.624 -6.780 2.757
Dy 1.213 -3.227 4.460
Dy 7.069 -10.156 4.632

=====

18
Lattice="5.804 1.621 1.161 2.194 11.101 0.768 2.194 4.304 10.262" Properties=species:S:1:pos:R:3 comment="Tb4Nd3Dy2 | the Alexandria database | GGA-PBE | optimized geometry" crystal_system=monoclinic pbc="T T T"
Tb 2.383 9.504 1.254
Tb 4.545 5.895 2.594
Tb 4.907 11.966 3.017
Tb 8.548 13.481 8.025
Tb 7.809 7.522 10.936
Tb 5.646 11.131 9.596
Tb 1.644 3.545 4.165
Tb 5.284 5.060 9.173
Nd 8.013 13.039 11.472
Nd 5.111 14.251 8.067
Nd 6.547 7.905 7.801
Nd 5.080 2.775 4.123
Nd 2.178 3.987 0.718
Nd 3.645 9.121 4.389
Dy 3.122 8.679 7.831
Dy 7.069 8.346 4.359
Dy 4.167 6.006 5.916
Dy 6.024 11.020 6.274

=====

20
Lattice="-2.832 -5.298 2.195 8.761 -1.962 6.571 -8.579 6.087 3.625" Properties=species:S:1:pos:R:3 comment="TbNd6Dy3 | the Alexandria database | GGA-PBE | optimized geometry" crystal_system=orthorhombic pbc="T T T"
Dy 0.718 -2.683 3.103
Dy -4.582 -0.760 10.227
Dy 0.439 -1.957 6.718
Dy -2.146 2.549 4.941
Dy -4.702 -3.474 3.520
Dy 0.838 0.031 9.810
Nd -2.213 -1.216 4.457
Nd -2.151 0.181 7.909
Nd 1.312 -3.252 9.985
Nd -5.568 0.386 5.878
Nd 0.697 2.165 7.055
Nd -4.618 0.851 2.915
Nd 0.635 0.769 3.603
Nd 7.069 -3.678 7.296
Nd 1.227 -5.169 5.246
Nd -4.533 2.768 7.653
Nd -10.446 1.146 5.658
Nd 3.480 -0.507 6.077
Tb -5.520 3.918 4.448
Tb 3.644 -3.642 7.343

=====

20
Lattice="-3.563 0.664 -8.720 6.109 -7.201 0.096 -7.083 -2.126 5.873" Properties=species:S:1:pos:R:3 comment="TbNd12Dy7 | the Alexandria database | GGA-PBE | optimized geometry" crystal_system=trigonal pbc="T T T"
Nd -5.175 -3.158 -3.115
Nd -3.273 -5.706 -4.705
Nd -5.593 -5.819 -0.525
Nd -2.890 -5.910 1.784
Nd -1.264 -2.957 1.954
Nd -1.647 -2.753 -4.534
Nd 0.231 -5.893 -3.418
Nd -4.768 -2.771 0.668
Nd 0.638 -5.506 0.365
Nd -1.319 -7.923 -0.945
Nd 1.055 -2.845 -2.226
Nd -3.218 -0.740 -1.805
Tb 0.000 0.000 0.000
Dy 3.188 -7.123 1.895
Dy -1.296 -1.716 -7.737
Dy -2.269 -4.332 -1.375
Dy -7.725 -1.541 -4.646
Dy 2.898 -6.918 -5.232
Dy -7.435 -1.745 2.482
Dy -3.241 -6.947 4.987

=====

18
Lattice="-4.654 -3.628 10.337 5.470 -2.945 8.281 0.023 5.384 1.900" Properties=species:S:1:pos:R:3 comment="Tb12NdDy5 | the Alexandria database | GGA-PBE | optimized geometry" crystal_system=monoclinic pbc="T T T"
Tb -1.142 -3.485 9.893
Tb -1.406 -1.087 3.126
Tb 1.062 -1.112 11.714
Tb 1.189 1.021 5.667
Tb -0.350 -2.211 14.851
Tb -3.705 -0.215 9.203
Tb -0.925 1.971 3.034
Tb -0.223 -0.077 8.804
Tb 3.367 -1.988 5.596
Tb 1.981 2.296 10.625
Tb -3.225 2.843 9.111
Tb -2.528 0.799 14.922
Dy -2.479 -1.250 12.151
Dy -0.186 -2.125 6.023
Dy 1.002 -4.449 12.595
Dy -2.315 0.878 6.119
Dy 3.318 0.060 8.368
Nd 0.000 0.000 0.000

=====

20
Lattice="8.853 2.102 -4.325 0.627 9.051 -4.372 -2.307 -2.653 10.750" Properties=species:S:1:pos:R:3 comment="Tb3Nd5Dy2 | the Alexandria database | GGA-PBE | optimized geometry" crystal_system=monoclinic pbc="T T T"
Tb 6.097 5.131 -2.496
Tb 6.745 1.702 -2.969
Tb 7.000 2.067 2.891
Tb 0.429 6.798 5.021
Tb 0.173 6.433 -0.838
Tb 1.076 3.369 4.548
Dy 4.257 2.967 -0.854
Dy 1.988 8.565 -2.548
Dy 2.917 5.533 2.907
Dy 5.186 -0.065 4.601
Nd 1.652 -0.099 5.976
Nd 6.460 5.577 1.556
Nd 3.654 6.405 -0.302
Nd 3.519 2.095 2.355
Nd 4.541 3.322 5.042
Nd 5.522 8.599 -3.924
Nd -0.575 5.592 2.380
Nd 0.713 2.923 0.496
Nd 7.749 2.908 -0.327
Nd 2.633 5.178 -2.989

=====

3
Lattice="-3.327 -0.544 0.930 1.750 -3.105 4.447 -0.759 5.619 0.571" Properties=species:S:1:pos:R:3 comment="TbNdDy | the Alexandria database | GGA-PBE | optimized geometry" crystal_system=hexagonal pbc="T T T"
Tb -0.475 2.621 2.017
Nd -1.304 -0.560 3.775
Dy -0.556 -0.091 0.155

=====

14
Lattice="6.212 0.159 2.743 2.367 5.746 2.743 1.027 0.707 13.622" Properties=species:S:1:pos:R:3 comment="Tb5NdDy | the Alexandria database | GGA-PBE | optimized geometry" crystal_system=monoclinic pbc="T T T"
Nd 5.907 2.252 12.960
Nd 3.700 4.360 6.149
Dy 0.513 0.353 6.811
Dy 0.000 0.000 0.000
Tb 2.700 2.831 11.789
Tb 6.852 4.576 17.301
Tb 6.906 3.781 7.319
Tb 6.511 5.454 14.130
Tb 3.398 2.199 8.619
Tb 5.853 1.231 6.149
Tb 2.754 2.035 1.808
Tb 3.753 5.381 12.960
Tb 3.095 1.158 4.978
Tb 6.208 4.412 10.490

=====

12
Lattice="7.123 0.492 -4.947 -3.025 8.041 -1.282 -1.724 -0.492 8.499" Properties=species:S:1:pos:R:3 comment="TbNd3Dy8 | the Alexandria database | GGA-PBE | optimized geometry" crystal_system=orthorhombic pbc="T T T"
Nd 0.849 6.174 -1.290
Nd -2.374 3.774 3.609
Nd 1.525 1.867 3.561
Dy -2.672 5.944 1.144
Dy 2.367 2.096 -0.636
Dy -2.871 7.107 4.365
Dy 5.046 2.097 1.127
Dy 5.246 0.934 -2.093
Dy 2.866 4.716 1.522
Dy -0.493 3.325 0.748
Dy 0.007 5.944 2.906
Tb 0.000 0.000 0.000

=====

8
Lattice="5.054 0.000 0.000 0.000 5.054 0.000 0.000 0.000 10.103" Properties=species:S:1:pos:R:3 comment="Tb6NdDy | the Alexandria database | GGA-PBE | optimized geometry" crystal_system=tetragonal pbc="T T T"
Tb 2.527 2.527 5.051
Tb 2.527 0.000 7.555
Tb 0.000 2.527 7.555
Tb 2.527 0.000 2.548
Tb 2.527 2.527 0.000
Tb 0.000 2.527 2.548
Dy 0.000 0.000 5.051
Nd 0.000 0.000 0.000

=====

18
Lattice="-4.320 3.611 -2.742 -4.165 3.154 8.723 4.358 8.780 2.702" Properties=species:S:1:pos:R:3 comment="TbNd6Dy2 | the Alexandria database | GGA-PBE | optimized geometry" crystal_system=monoclinic pbc="T T T"
Dy 0.551 4.838 2.983
Dy -3.302 5.526 2.808
Dy -4.678 10.706 5.701
Dy -0.824 10.018 5.876
Tb 2.431 9.124 2.615
Tb -6.558 6.421 6.069
Nd -2.960 10.884 2.707
Nd -0.403 9.523 -0.063
Nd -1.817 2.321 2.877
Nd -4.370 3.673 5.637
Nd -0.937 8.043 2.916
Nd -1.582 5.707 -0.186
Nd -1.167 4.660 5.976
Nd -3.190 7.501 5.767
Nd -3.724 6.021 8.746
Nd -2.545 9.837 8.870
Nd -2.310 13.223 5.807
Nd 0.243 11.871 3.047

=====

15
Lattice="7.268 0.000 3.282 3.634 7.989 1.641 0.347 0.000 8.922" Properties=species:S:1:pos:R:3 comment="TbNd4Dy10 | the Alexandria database | GGA-PBE | optimized geometry" crystal_system=tetragonal pbc="T T T"
Nd 7.616 3.641 12.202
Nd 5.770 0.002 6.601
Nd 3.633 4.347 1.643
Nd 5.479 7.987 7.244
Dy 3.807 3.994 6.102
Dy 6.167 1.664 9.723
Dy 3.164 1.664 8.367
Dy 1.447 1.665 2.480
Dy 4.451 1.665 3.836
Dy 7.442 3.994 7.743
Dy 9.801 6.324 11.365
Dy 8.085 6.324 5.477
Dy 5.081 6.324 4.121
Dy 6.798 6.324 10.009
Tb 0.000 0.000 0.000

=====

no.,calculated formation energy (eV per formula unit),total DFT energy (no corrections) (eV/atom)
1,0.84,-4.555
2,0.87,-4.573
3,1.41,-4.564
4,2.98,-4.554
5,1.69,-4.536
6,1.80,-4.514
7,0.20,-4.601
8,1.30,-4.460
9,3.51,-4.353
10,0.16,-4.624
11,0.74,-4.634
12,3.96,-4.384